[1]
Density functional theory data (PBE) for an optimized crystal structure of Na2BiH2.

Total magnetic moment (μB/f.u.): 0.000
Space-group type: P4/mbm (127)
ρ (g/cm³): 4.17
E above lowest polymorph (meV/atom): 451.5
Fermi-level density of states (states/eV/cell): 4.37
Crystal system: tetragonal

abc: 8.2247 8.2247 3.0291
angles: 90.00 90.00 90.00
Fractional positions:
H 0.3936 0.1064 0.5000
Na 0.3794 0.8794 0.0000
Bi 0.5000 0.5000 0.0000
H 0.1064 0.6064 0.5000
H 0.8936 0.3936 0.5000
Na 0.6206 0.1206 0.0000
Bi 0.0000 0.0000 0.0000
Na 0.8794 0.6206 0.0000
H 0.6064 0.8936 0.5000
Na 0.1206 0.3794 0.0000



[2]
Density functional theory data (PBE) for an optimized crystal structure of Na3BiH.

Total magnetic moment (μB/f.u.): 0.000
Space-group type: Cm (8)
ρ (g/cm³): 3.87
E above lowest polymorph (meV/atom): 0.0
Fermi-level density of states (states/eV/cell): 2.87
Crystal system: monoclinic

abc: 7.0785 5.2876 7.0824
angles: 90.00 115.49 89.99
Fractional positions:
Bi 0.0625 0.1763 0.2495
Bi 0.5267 0.1763 0.7137
H 0.0367 0.6742 0.7395
Na 0.3722 0.6764 0.4048
Na 0.5538 0.1771 0.2221
Na 0.8569 0.6766 0.9204
H 0.5520 0.6754 0.2241
Na 0.8874 0.6768 0.4051
Na 0.3715 0.6768 0.8891
Na 0.0365 0.1779 0.7394



[3]
Density functional theory data (PBE) for an optimized crystal structure of Na3Bi4H2.

Total magnetic moment (μB/f.u.): 0.000
Space-group type: C2/c (15)
ρ (g/cm³): 5.87
Fermi-level density of states (states/eV/cell): 1.68
Crystal system: monoclinic
E_tot (eV per atom): -2.98

abc: 10.1183 7.4364 7.4364
angles: 66.41 90.98 90.98
Fractional positions:
H 0.8419 0.2503 0.8773
H 0.1581 0.7497 0.1227
Na 0.7500 0.4601 0.5399
H 0.3419 0.8773 0.2503
Na 0.7122 0.9826 0.5292
Na 0.7878 0.4708 0.0174
Bi 0.5046 0.4263 0.2374
Bi 0.0046 0.2374 0.4263
Bi 0.0237 0.2234 0.8526
Na 0.2122 0.5292 0.9826
H 0.6581 0.1227 0.7497
Bi 0.4763 0.1474 0.7766
Bi 0.4954 0.5737 0.7626
Na 0.2878 0.0174 0.4708
Bi 0.9954 0.7626 0.5737
Bi 0.5237 0.8526 0.2234
Na 0.2500 0.5399 0.4601
Bi 0.9763 0.7766 0.1474



[4]
Density functional theory data (PBE) for an optimized crystal structure of NaBiH.

Total magnetic moment (μB/f.u.): 0.000
Space-group type: P3m1 (156)
ρ (g/cm³): 5.76
E above lowest polymorph (meV/atom): 260.6
Fermi-level density of states (states/eV/cell): 1.27
Crystal system: trigonal

abc: 5.0984 3.8993 3.8993
angles: 120.00 90.00 90.00
Fractional positions:
Na 0.6901 0.6667 0.3333
H 0.1251 0.0000 0.0000
Bi 0.1848 0.3333 0.6667



[5]
Density functional theory data (PBE) for an optimized crystal structure of NaNb2BiH.

Total magnetic moment (μB/f.u.): 0.000
Space-group type: P4/mmm (123)
ρ (g/cm³): 7.42
Fermi-level density of states (states/eV/cell): 5.75
Crystal system: tetragonal
E_tot (eV per atom): -4.27

abc: 5.2752 3.3674 5.2752
angles: 90.00 90.00 90.00
Fractional positions:
Nb 0.5000 0.0000 0.0000
Nb 0.0000 0.0000 0.5000
Na 0.0000 0.0000 0.0000
H 0.0000 0.5000 0.0000
Bi 0.5000 0.5000 0.5000



[6]
Density functional theory data (PBE) for an optimized crystal structure of NaNbBiH2.

Total magnetic moment (μB/f.u.): 2.869
Space-group type: P4/mmm (123)
ρ (g/cm³): 4.89
Fermi-level density of states (states/eV/cell): 5.64
Crystal system: tetragonal
E_tot (eV per atom): -3.38

abc: 4.0396 6.8057 4.0396
angles: 90.00 90.00 90.00
Each line ends with the local moment (μB).
Fractional positions:
Na 0.0000 0.0000 0.0000  0.02
Nb 0.0000 0.5000 0.0000  1.67
Bi 0.5000 0.5000 0.5000  -0.12
H 0.0000 0.0000 0.5000  0.16
H 0.5000 0.0000 0.0000  0.23